Below is a geometry-optimized MnAsAu2 structure, with properties calculated at the PBE-GGA level.

Geometry as POSCAR:
```
MnAsAu2
1.0
5.0598 -0.0106 0.0000
1.6773 4.7737 0.0000
-3.3686 -2.3816 2.9296
Au As Mn
2 1 1
Cartesian
0.8387 2.3869 1.4648 Au
0.0000 0.0000 0.0000 Au
2.5299 -0.0053 1.4648 As
3.3686 2.3816 0.0000 Mn
```

Values from the calculation:
Uncorrected energy ... -19.84 eV for the cell shown
Formation enthalpy at 0 K ... 134.5 meV/atom
Density ... 12.28 Mg/m³
Volume ... 17.7 Å³ per atom

---

Below is a geometry-optimized La5Tb2Tm4 structure, with properties calculated at the PBE-GGA level.

Geometry as POSCAR:
```
La5Tb2Tm4
1.0
-0.7594 -3.2233 -1.2689
6.3171 1.1205 -6.6271
5.4671 -3.6711 11.0097
Tb Tm La
2 4 5
Cartesian
6.5827 -3.2300 -0.6903 Tb
4.4420 -2.5440 3.8041 Tb
2.0145 0.3573 -2.1133 Tm
4.3026 0.7632 -4.5137 Tm
6.6647 -3.8170 5.7076 Tm
4.3600 -1.9570 -2.5938 Tm
7.4495 -0.4830 -3.2314 La
3.5752 -5.2909 6.3452 La
-0.3797 -1.6117 -0.6344 La
3.6786 -1.1519 0.7245 La
7.3461 -4.6221 2.3892 La
```

Values from the calculation:
Uncorrected energy ... -49.89 eV for the cell shown
Formation enthalpy at 0 K ... 172.3 meV/atom
E above lowest polymorph ... 1.00 eV per formula unit
Density ... 7.24 Mg/m³
Volume ... 35.2 Å³ per atom